Here is crystalline Be2TlPt at its relaxed geometry from the Alexandria database. Energies are from PBE.

Cell lengths 3.6444, 2.9413, 5.9386 Å; angles 93.49, 90.00, 90.00 degrees
Positions (direct):
Be1 0.5000 0.0859 0.3078
Tl1 0.5000 0.7738 0.7636
Pt1 0.0000 0.5874 0.3619
Be2 0.0000 0.0529 0.0667

Values from the calculation:
- Energy: -3.97 eV/atom
- ρ: 10.91 Mg/m³
- Symmetry: Pm (6)
- Spin magnetization: 0.00 μB/f.u.
- Calculated volume: 15.88 A^3/atom